Entry 1:
Computed, not measured: RbBO2F after structural relaxation at the PBEsol level of DFT.

Calculated values
**Formation energy from raw total energies**: 1.3608 eV/atom
**Uncorrected energy**: -2.733 eV/atom
**Crystal system**: tetragonal

Cell: 4.372 4.372 4.913 Å, 90.00 90.00 90.00°
Atoms (fractional coordinates):
O  0.000  0.500  0.000
O  0.500  0.000  0.000
B  0.500  0.500  0.500
F  0.000  0.000  0.500
Rb  0.000  0.000  0.000

=====

Entry 2:
Computed, not measured: Ba5Ag after structural relaxation at the PBEsol level of DFT.

Calculated values
**Energy above the lowest structure with this stoichiometry**: 0.008 eV per atom
**Uncorrected energy**: -2.381 eV/atom
**Energy of formation from the pure elements**: -22.3 kJ/mol of formula units
**Crystal system**: monoclinic

Cell: 4.191 7.591 10.400 Å, 69.16 78.38 73.98°
Atoms (fractional coordinates):
Ba  0.500  0.000  0.000
Ba  0.875  0.873  0.377
Ba  0.168  0.444  0.220
Ba  0.125  0.127  0.623
Ba  0.832  0.556  0.780
Ag  0.500  0.500  0.500

=====

Entry 3:
Computed, not measured: TaRe2Se after structural relaxation at the PBEsol level of DFT.

Calculated values
**Formation energy from raw total energies**: 0.4067 eV/atom
**Uncorrected energy**: -10.360 eV/atom
**Crystal system**: orthorhombic

Cell: 2.786 2.786 9.030 Å, 90.00 90.00 113.06°
Atoms (fractional coordinates):
Ta  0.500  0.500  0.247
Se  0.000  0.000  0.489
Re  0.500  0.500  0.767
Re  0.000  0.000  0.997